[1]
Material: Ni2AgTe2
Method: DFT, PBE
State: relaxed

Unit cell a=7.0526 b=7.0526 c=3.5314 alpha=90.00 beta=90.00 gamma=90.00
Fractional positions:
Ni 0.3736 0.8736 0.0000
Ni 0.8736 0.6264 0.0000
Ni 0.6264 0.1264 0.0000
Ni 0.1264 0.3736 0.0000
Te 0.1698 0.6698 0.5000
Te 0.6698 0.8302 0.5000
Te 0.8302 0.3302 0.5000
Te 0.3302 0.1698 0.5000
Ag 0.0000 0.0000 0.0000
Ag 0.5000 0.5000 0.0000

Calculated values
**Density**: 9.08 g cm⁻³
**Energy relative to the elements, uncorrected**: 93 meV per atom
**E**: -4.046 eV per atom
**V**: 17.56 Å³ per atom
**Space group**: P4/mbm (127)
**Total magnetization**: 0.00 μB/f.u.

[2]
Material: NiAgTe2
Method: DFT, PBE
State: relaxed

Unit cell a=3.7956 b=3.7956 c=7.3847 alpha=75.09 beta=75.09 gamma=59.97
Fractional positions:
Ni 0.2500 0.2500 0.2500
Te 0.9846 0.9846 0.0452
Te 0.5154 0.5154 0.4548
Ag 0.7500 0.7500 0.7500

Calculated values
**Density**: 7.96 g cm⁻³
**Energy relative to the elements, uncorrected**: -80 meV per atom
**E**: -3.809 eV per atom
**V**: 21.99 Å³ per atom
**Space group**: R-3m (166)
**Total magnetization**: 0.00 μB/f.u.

[3]
Material: Ni5AgTe8
Method: DFT, PBE
State: relaxed

Unit cell a=7.7344 b=7.7344 c=7.7344 alpha=60.00 beta=60.00 gamma=60.00
Fractional positions:
Ni 0.0000 0.0000 0.0000
Ni 0.3742 0.3742 0.3742
Ni 0.3742 0.3742 0.8775
Ni 0.8775 0.3742 0.3742
Ni 0.3742 0.8775 0.3742
Ag 0.7500 0.7500 0.7500
Te 0.6089 0.1733 0.6089
Te 0.1733 0.6089 0.6089
Te 0.6089 0.6089 0.1733
Te 0.6089 0.6089 0.6089
Te 0.1341 0.1341 0.1341
Te 0.5977 0.1341 0.1341
Te 0.1341 0.1341 0.5977
Te 0.1341 0.5977 0.1341

Calculated values
**Density**: 7.22 g cm⁻³
**Energy relative to the elements, uncorrected**: -161 meV per atom
**E**: -4.225 eV per atom
**V**: 23.37 Å³ per atom
**Space group**: F-43m (216)
**Total magnetization**: 0.00 μB/f.u.

Which of these has the highest energy relative to the elements, uncorrected? Ni2AgTe2

What is the E in the second record? -3.809 eV per atom

Please write out number 2 again, unchanged.
Material: NiAgTe2
Method: DFT, PBE
State: relaxed

Unit cell a=3.7956 b=3.7956 c=7.3847 alpha=75.09 beta=75.09 gamma=59.97
Fractional positions:
Ni 0.2500 0.2500 0.2500
Te 0.9846 0.9846 0.0452
Te 0.5154 0.5154 0.4548
Ag 0.7500 0.7500 0.7500

Calculated values
**Density**: 7.96 g cm⁻³
**Energy relative to the elements, uncorrected**: -80 meV per atom
**E**: -3.809 eV per atom
**V**: 21.99 Å³ per atom
**Space group**: R-3m (166)
**Total magnetization**: 0.00 μB/f.u.